DFT (PBE) results for TaNbV4 after structural relaxation.

abc: 5.0549 5.0549 5.0549
angles: 60.00 60.00 60.00
Closest atoms and distances in Å follow each position.
Fractional coordinates of all 6 atoms:
Nb 0.2500 0.2500 0.2500  12 V 2.96, 4 Ta 3.10
V 0.6251 0.6251 0.1247  6 V 2.53
V 0.6251 0.1247 0.6251  6 V 2.53
V 0.6251 0.6251 0.6251  6 V 2.53
V 0.1247 0.6251 0.6251  6 V 2.53
Ta 0.0000 0.0000 0.0000  12 V 2.96, 4 Nb 3.10

Results
The volume comes out at 91.3 Å³/f.u. The calculation puts the density of states at the Fermi level at 11.867 states/eV/f.u. As for the energy relative to the elements: -0.08 eV per atom. The calculation puts the raw total energy at -9.814 eV/atom. As for the mass density: 8684 kg/m³.



DFT (PBE) results for TaNb2V after structural relaxation.

abc: 4.5969 4.5969 4.5969
angles: 60.00 60.00 60.00
Closest atoms and distances in Å follow each position.
Fractional coordinates of all 4 atoms:
Nb 0.2500 0.2500 0.2500  4 Ta 2.81, 4 V 2.81
Nb 0.7500 0.7500 0.7500  4 V 2.81, 4 Ta 2.81
V 0.0000 0.0000 0.0000  8 Nb 2.81
Ta 0.5000 0.5000 0.5000  8 Nb 2.81

Results
The value obtained for the energy above the most stable polymorph in this dataset is 16 meV/atom. The volume comes out at 68.7 Å³/f.u. The calculation puts the density of states at the Fermi level at 7.531 states/eV/f.u. As for the energy relative to the elements: 0.05 eV per atom. The calculation puts the raw total energy at -10.231 eV/atom. As for the mass density: 10098 kg/m³.



Q: The lowest mass density belongs to which entry?
A: TaNbV4